Record 1
VPbN2F after structural relaxation. Source: the Alexandria database, functional GGA+U.

The space group is P4/mmm (No. 123) and the conventional cell measures 4.287, 4.287 and 4.212 Å, with angles of 90.00, 90.00 and 90.00 degrees. Symmetry generates all atoms from V at (0.000, 0.000, 0.000), Pb at (0.500, 0.500, 0.500), N at (0.000, 0.500, 0.500) and F at (0.500, 0.500, 0.000).

---

Record 2
PbWNF2 after structural relaxation. Source: the Alexandria database, functional GGA+U.

The space group is P4/mmm (No. 123) and the conventional cell measures 4.481, 4.481 and 4.574 Å, with angles of 90.00, 90.00 and 90.00 degrees. Symmetry generates all atoms from Pb at (0.000, 0.000, 0.000), W at (0.500, 0.500, 0.500), N at (0.000, 0.000, 0.500) and F at (0.000, 0.500, 0.000).

---

no.,total DFT energy (no corrections) (eV per cell),magnetic moment (μB/cell)
1,-23.82,0.181
2,-22.80,4.111